# CrIn2AsN (GGA-PBE, optimized geometry)
# Energy above the most stable polymorph in this dataset ... 0 meV/atom
# SG ... P4/mmm (123)
# E ... -4.54 eV/atom
data_CrIn2AsN
_symmetry_space_group_name_H-M 'P 1'
_symmetry_Int_Tables_number 1
_cell_length_a 5.176
_cell_length_b 4.503
_cell_length_c 5.176
_cell_angle_alpha 90.00
_cell_angle_beta 90.00
_cell_angle_gamma 90.00
loop_
_symmetry_equiv_pos_as_xyz
'x,y,z'
loop_
_atom_site_label
_atom_site_type_symbol
_atom_site_fract_x
_atom_site_fract_y
_atom_site_fract_z
_atom_site_occupancy
N1 N 0.500 0.500 0.500 1
In1 In 0.500 0.000 0.000 1
In2 In 0.000 0.000 0.500 1
Cr1 Cr 0.000 0.000 0.000 1
As1 As 0.000 0.500 0.000 1

---

# Co2IrRu2 (GGA-PBE, optimized geometry)
# SG ... P4/mbm (127)
# E ... -8.07 eV/atom
# ΔE_f ... 1.29 eV per formula unit
data_Co2IrRu2
_symmetry_space_group_name_H-M 'P 1'
_symmetry_Int_Tables_number 1
_cell_length_a 6.888
_cell_length_b 6.888
_cell_length_c 2.718
_cell_angle_alpha 90.00
_cell_angle_beta 90.00
_cell_angle_gamma 90.00
loop_
_symmetry_equiv_pos_as_xyz
'x,y,z'
loop_
_atom_site_label
_atom_site_type_symbol
_atom_site_fract_x
_atom_site_fract_y
_atom_site_fract_z
_atom_site_occupancy
Co1 Co 0.879 0.621 0.000 1
Co2 Co 0.121 0.379 0.000 1
Co3 Co 0.621 0.121 0.000 1
Co4 Co 0.379 0.879 0.000 1
Ru1 Ru 0.675 0.825 0.500 1
Ru2 Ru 0.175 0.675 0.500 1
Ru3 Ru 0.325 0.175 0.500 1
Ru4 Ru 0.825 0.325 0.500 1
Ir1 Ir 0.000 0.000 0.000 1
Ir2 Ir 0.500 0.500 0.000 1

---

# LaOF (GGA-PBE, optimized geometry)
# SG ... F-43m (216)
# E ... -7.74 eV/atom
data_LaOF
_symmetry_space_group_name_H-M 'P 1'
_symmetry_Int_Tables_number 1
_cell_length_a 4.075
_cell_length_b 4.075
_cell_length_c 4.075
_cell_angle_alpha 60.00
_cell_angle_beta 60.00
_cell_angle_gamma 60.00
loop_
_symmetry_equiv_pos_as_xyz
'x,y,z'
loop_
_atom_site_label
_atom_site_type_symbol
_atom_site_fract_x
_atom_site_fract_y
_atom_site_fract_z
_atom_site_occupancy
La1 La 0.000 0.000 0.000 1
O1 O 0.250 0.250 0.250 1
F1 F 0.750 0.750 0.750 1

---

# CaSi2Os (GGA-PBE, optimized geometry)
# SG ... Imm2 (44)
# E ... -5.81 eV/atom
data_CaSi2Os
_symmetry_space_group_name_H-M 'P 1'
_symmetry_Int_Tables_number 1
_cell_length_a 5.567
_cell_length_b 5.567
_cell_length_c 5.567
_cell_angle_alpha 147.53
_cell_angle_beta 132.10
_cell_angle_gamma 59.06
loop_
_symmetry_equiv_pos_as_xyz
'x,y,z'
loop_
_atom_site_label
_atom_site_type_symbol
_atom_site_fract_x
_atom_site_fract_y
_atom_site_fract_z
_atom_site_occupancy
Si1 Si 0.781 0.281 0.500 1
Si2 Si 0.019 0.019 0.000 1
Ca1 Ca 0.487 0.487 0.000 1
Os1 Os 0.213 0.713 0.500 1

---

# HoTh2Rh (GGA-PBE, optimized geometry)
# Energy above the most stable polymorph in this dataset ... 163 meV/atom
# SG ... R3m (160)
# E ... -7.00 eV/atom
# ΔE_f ... -1.22 eV per formula unit
data_HoTh2Rh
_symmetry_space_group_name_H-M 'P 1'
_symmetry_Int_Tables_number 1
_cell_length_a 3.860
_cell_length_b 3.860
_cell_length_c 9.463
_cell_angle_alpha 78.23
_cell_angle_beta 78.23
_cell_angle_gamma 60.00
loop_
_symmetry_equiv_pos_as_xyz
'x,y,z'
loop_
_atom_site_label
_atom_site_type_symbol
_atom_site_fract_x
_atom_site_fract_y
_atom_site_fract_z
_atom_site_occupancy
Ho1 Ho 0.499 0.499 0.503 1
Th1 Th 0.269 0.269 0.192 1
Th2 Th 0.065 0.065 0.805 1
Rh1 Rh 0.667 0.667 0.999 1

---

# SiAsPRh2C (GGA-PBE, optimized geometry)
# Energy above the most stable polymorph in this dataset ... 356 meV/atom
# SG ... Pm (6)
# E ... -6.49 eV/atom
data_SiAsPRh2C
_symmetry_space_group_name_H-M 'P 1'
_symmetry_Int_Tables_number 1
_cell_length_a 5.302
_cell_length_b 3.135
_cell_length_c 5.686
_cell_angle_alpha 90.00
_cell_angle_beta 107.85
_cell_angle_gamma 90.00
loop_
_symmetry_equiv_pos_as_xyz
'x,y,z'
loop_
_atom_site_label
_atom_site_type_symbol
_atom_site_fract_x
_atom_site_fract_y
_atom_site_fract_z
_atom_site_occupancy
Rh1 Rh 0.399 0.500 0.123 1
Rh2 Rh 0.379 0.500 0.601 1
P1 P 0.217 0.000 0.821 1
As1 As 0.757 0.000 0.761 1
Si1 Si 0.849 0.000 0.201 1
C1 C 0.056 0.500 0.283 1

---

# AlAg2Te (GGA-PBE, optimized geometry)
# Energy above the most stable polymorph in this dataset ... 0 meV/atom
# SG ... Pm (6)
# E ... -3.10 eV/atom
data_AlAg2Te
_symmetry_space_group_name_H-M 'P 1'
_symmetry_Int_Tables_number 1
_cell_length_a 3.934
_cell_length_b 3.049
_cell_length_c 7.196
_cell_angle_alpha 90.02
_cell_angle_beta 90.00
_cell_angle_gamma 90.00
loop_
_symmetry_equiv_pos_as_xyz
'x,y,z'
loop_
_atom_site_label
_atom_site_type_symbol
_atom_site_fract_x
_atom_site_fract_y
_atom_site_fract_z
_atom_site_occupancy
Te1 Te 0.500 0.751 0.738 1
Ag1 Ag 0.000 0.749 0.050 1
Ag2 Ag 0.500 0.250 0.267 1
Al1 Al 0.000 0.750 0.445 1

---

# DyTm2ThP4 (GGA-PBE, optimized geometry)
# SG ... P2/m (10)
# E ... -6.93 eV/atom
# ΔE_f ... -12.84 eV per formula unit
data_DyTm2ThP4
_symmetry_space_group_name_H-M 'P 1'
_symmetry_Int_Tables_number 1
_cell_length_a 4.023
_cell_length_b 6.941
_cell_length_c 6.952
_cell_angle_alpha 70.50
_cell_angle_beta 90.00
_cell_angle_gamma 90.00
loop_
_symmetry_equiv_pos_as_xyz
'x,y,z'
loop_
_atom_site_label
_atom_site_type_symbol
_atom_site_fract_x
_atom_site_fract_y
_atom_site_fract_z
_atom_site_occupancy
P1 P 0.500 0.244 0.749 1
P2 P 0.500 0.756 0.251 1
P3 P 0.000 0.759 0.744 1
P4 P 0.000 0.241 0.256 1
Dy1 Dy 0.000 0.500 0.500 1
Tm1 Tm 0.500 0.000 0.500 1
Tm2 Tm 0.000 0.000 0.000 1
Th1 Th 0.500 0.500 0.000 1

---

# NaTbZn2Ge2 (GGA-PBE, optimized geometry)
# SG ... P-3m1 (164)
# E ... -3.35 eV/atom
# ΔE_f ... -2.36 eV per formula unit
data_NaTbZn2Ge2
_symmetry_space_group_name_H-M 'P 1'
_symmetry_Int_Tables_number 1
_cell_length_a 4.279
_cell_length_b 4.279
_cell_length_c 8.043
_cell_angle_alpha 90.00
_cell_angle_beta 90.00
_cell_angle_gamma 120.00
loop_
_symmetry_equiv_pos_as_xyz
'x,y,z'
loop_
_atom_site_label
_atom_site_type_symbol
_atom_site_fract_x
_atom_site_fract_y
_atom_site_fract_z
_atom_site_occupancy
Zn1 Zn 0.667 0.333 0.255 1
Zn2 Zn 0.333 0.667 0.745 1
Na1 Na 0.000 0.000 0.000 1
Tb1 Tb 0.000 0.000 0.500 1
Ge1 Ge 0.667 0.333 0.726 1
Ge2 Ge 0.333 0.667 0.274 1

---

# CsKBa2As (GGA-PBE, optimized geometry)
# Energy above the most stable polymorph in this dataset ... 0 meV/atom
# SG ... P4/mmm (123)
# E ... -2.45 eV/atom
# ΔE_f ... -1.83 eV per formula unit
data_CsKBa2As
_symmetry_space_group_name_H-M 'P 1'
_symmetry_Int_Tables_number 1
_cell_length_a 6.515
_cell_length_b 6.515
_cell_length_c 7.489
_cell_angle_alpha 90.00
_cell_angle_beta 90.00
_cell_angle_gamma 90.00
loop_
_symmetry_equiv_pos_as_xyz
'x,y,z'
loop_
_atom_site_label
_atom_site_type_symbol
_atom_site_fract_x
_atom_site_fract_y
_atom_site_fract_z
_atom_site_occupancy
Cs1 Cs 0.000 0.000 0.500 1
Ba1 Ba 0.500 0.000 0.000 1
Ba2 Ba 0.000 0.500 0.000 1
As1 As 0.000 0.000 0.000 1
K1 K 0.500 0.500 0.500 1

---

# Er2Tm2Pb3 (GGA-PBE, optimized geometry)
# SG ... C2/m (12)
# E ... -4.44 eV/atom
# ΔE_f ... -1.89 eV per formula unit
data_Er2Tm2Pb3
_symmetry_space_group_name_H-M 'P 1'
_symmetry_Int_Tables_number 1
_cell_length_a 5.207
_cell_length_b 6.399
_cell_length_c 6.645
_cell_angle_alpha 88.43
_cell_angle_beta 113.07
_cell_angle_gamma 90.00
loop_
_symmetry_equiv_pos_as_xyz
'x,y,z'
loop_
_atom_site_label
_atom_site_type_symbol
_atom_site_fract_x
_atom_site_fract_y
_atom_site_fract_z
_atom_site_occupancy
Er1 Er 0.862 0.602 0.724 1
Er2 Er 0.138 0.398 0.276 1
Pb1 Pb 0.736 0.179 0.472 1
Pb2 Pb 0.264 0.821 0.528 1
Pb3 Pb 0.000 0.000 0.000 1
Tm1 Tm 0.429 0.248 0.857 1
Tm2 Tm 0.571 0.752 0.143 1

---

# Ba2Nb3RhO12 (GGA-PBE, optimized geometry)
# SG ... R-3m (166)
# E ... -7.83 eV/atom
data_Ba2Nb3RhO12
_symmetry_space_group_name_H-M 'P 1'
_symmetry_Int_Tables_number 1
_cell_length_a 7.373
_cell_length_b 7.373
_cell_length_c 7.373
_cell_angle_alpha 61.14
_cell_angle_beta 61.14
_cell_angle_gamma 61.14
loop_
_symmetry_equiv_pos_as_xyz
'x,y,z'
loop_
_atom_site_label
_atom_site_type_symbol
_atom_site_fract_x
_atom_site_fract_y
_atom_site_fract_z
_atom_site_occupancy
O1 O 0.949 0.318 0.318 1
O2 O 0.318 0.949 0.318 1
O3 O 0.069 0.686 0.069 1
O4 O 0.314 0.931 0.931 1
O5 O 0.686 0.069 0.069 1
O6 O 0.318 0.318 0.949 1
O7 O 0.931 0.314 0.931 1
O8 O 0.682 0.051 0.682 1
O9 O 0.069 0.069 0.686 1
O10 O 0.051 0.682 0.682 1
O11 O 0.931 0.931 0.314 1
O12 O 0.682 0.682 0.051 1
Nb1 Nb 0.000 0.500 0.000 1
Nb2 Nb 0.000 0.000 0.500 1
Nb3 Nb 0.500 0.000 0.000 1
Ba1 Ba 0.328 0.328 0.328 1
Ba2 Ba 0.672 0.672 0.672 1
Rh1 Rh 0.000 0.000 0.000 1

---

Number 1: magnetic moment 3.916 μB per formula unit. Number 2: magnetic moment 1.580 μB per formula unit. Number 3: magnetic moment 0.000 μB per formula unit. Number 4: magnetic moment 0.000 μB per formula unit. Number 5: magnetic moment 0.000 μB per formula unit. Number 6: magnetic moment 0.000 μB per formula unit. Number 7: magnetic moment 0.000 μB per formula unit. Number 8: magnetic moment 0.000 μB per formula unit. Number 9: magnetic moment 0.000 μB per formula unit. Number 10: magnetic moment 0.000 μB per formula unit. Number 11: magnetic moment 0.000 μB per formula unit. Number 12: magnetic moment 2.013 μB per formula unit.